Crystalline YInTeSe at its relaxed geometry. Source: Alexandria via LeMat-Bulk, functional PBE.

## Properties
The total magnetic moment comes out at 0.000 μB per atom. As for the space group: No. 160.

Geometry as POSCAR:
```
YInTeSe
1.0
-1.2873 -3.1930 -2.5434
0.0130 -0.5203 4.2484
-6.7217 5.0682 0.6418
Y In Te Se
1 1 1 1
Direct
0.2915 0.5437 0.8505
0.9641 0.3801 0.3592
0.1171 0.9565 0.0890
0.5052 0.1505 0.6710
```

***

Crystalline Tm2Cu3Hg at its relaxed geometry. Source: Alexandria via LeMat-Bulk, functional PBE.

## Properties
The total magnetic moment comes out at 0.000 μB per atom. The density of states at the Fermi level comes out at 6.56 states/eV/cell. As for the space group: No. 69. The value obtained for the energy of formation is -153 kJ/mol of formula units.

Geometry as POSCAR:
```
Tm2Cu3Hg
1.0
5.5962 -0.6162 0.0000
-0.8330 5.5681 0.0000
-2.3816 -2.4760 7.5884
Tm Cu Hg
4 6 2
Direct
0.2500 0.7500 0.5000
0.7569 0.7569 0.0000
0.7500 0.2500 0.5000
0.2431 0.2431 0.0000
0.3216 0.8404 0.1621
0.1596 0.6784 0.8379
0.6784 0.1596 0.8379
0.8404 0.3216 0.1621
0.1599 0.1599 0.3199
0.8401 0.8401 0.6801
0.6661 0.6661 0.3323
0.3339 0.3339 0.6677
```

***

no.,energy (eV/atom)
1,-5.08
2,-3.85